Run w
# Be3InSn | Alexandria via LeMat-Bulk | PBE-GGA | relaxed
# Magnetic moment: 0.00 μB per formula unit
# DOS at the Fermi energy: 2.35 states/eV per cell
data_Be3InSn
_space_group_name_H-M_alt 'P m -3 m'
_space_group_IT_number 221
_space_group_name_Hall '-P 4 2 3'
_cell_length_a 4.618
_cell_length_b 4.618
_cell_length_c 4.618
_cell_angle_alpha 90.00
_cell_angle_beta 90.00
_cell_angle_gamma 90.00
loop_
_atom_site_label
_atom_site_fract_x
_atom_site_fract_y
_atom_site_fract_z
_atom_site_occupancy
Be1 0.000 0.000 0.500 1
In1 0.000 0.000 0.000 1
Sn1 0.500 0.500 0.500 1


Run x
# Be3InSn | Alexandria via LeMat-Bulk | PBE-GGA | relaxed
# Magnetic moment: 0.00 μB per formula unit
# DOS at the Fermi energy: 3.15 states/eV per cell
data_Be3InSn
_space_group_name_H-M_alt 'P m -3 m'
_space_group_IT_number 221
_space_group_name_Hall '-P 4 2 3'
_cell_length_a 4.701
_cell_length_b 4.701
_cell_length_c 4.701
_cell_angle_alpha 90.00
_cell_angle_beta 90.00
_cell_angle_gamma 90.00
loop_
_atom_site_label
_atom_site_fract_x
_atom_site_fract_y
_atom_site_fract_z
_atom_site_occupancy
Be1 0.000 0.000 0.500 1
In1 0.500 0.500 0.500 1
Sn1 0.000 0.000 0.000 1


Relative energies in kJ/mol of atoms: run w 1.1; run x 0.0